(1)
Computed, not measured: crystalline BeCu2P6 at its relaxed geometry at the PBE level of DFT.

a b c (Å): 8.5951 8.8330 6.6653
angles (deg): 90.00 141.27 90.00
Closest atoms and distances in Å follow each position.
Fractional coordinates of all 18 atoms:
Be (0.5000, 0.5000, 0.0000)  6 P 2.27-2.47
Be (0.0000, 0.0000, 0.5000)  6 P 2.27-2.47
P (0.7316, 0.8658, 0.9884)  2 P 2.23-2.25, 1 Cu 2.24, 1 Be 2.47
P (0.2316, 0.6342, 0.4884)  2 P 2.23-2.25, 1 Cu 2.24, 1 Be 2.47
P (0.7683, 0.3658, 0.5116)  2 P 2.23-2.25, 1 Cu 2.24, 1 Be 2.47
P (0.6458, 0.1491, 0.2471)  3 P 2.23-2.25, 1 Be 2.42
P (0.5488, 0.2811, 0.8744)  1 P 2.23, 2 Cu 2.24-2.27, 1 Be 2.27
P (0.9512, 0.7811, 0.6256)  1 P 2.23, 2 Cu 2.24-2.27, 1 Be 2.27
P (0.2683, 0.1342, 0.0116)  2 P 2.23-2.25, 1 Cu 2.24, 1 Be 2.47
P (0.0488, 0.2189, 0.3744)  1 P 2.23, 2 Cu 2.24-2.27, 1 Be 2.27
P (0.1458, 0.3509, 0.7471)  3 P 2.23-2.25, 1 Be 2.42
P (0.4512, 0.7189, 0.1255)  1 P 2.23, 2 Cu 2.24-2.27, 1 Be 2.27
P (0.3542, 0.8509, 0.7528)  3 P 2.23-2.25, 1 Be 2.42
P (0.8542, 0.6491, 0.2529)  3 P 2.23-2.25, 1 Be 2.42
Cu (0.8164, 0.2964, 0.8812)  3 P 2.24-2.27
Cu (0.1837, 0.7036, 0.1190)  3 P 2.24-2.27
Cu (0.6837, 0.7964, 0.6189)  3 P 2.24-2.27
Cu (0.3163, 0.2036, 0.3811)  3 P 2.24-2.27

## Properties
* crystal system: monoclinic
* ΔE_f: 61.0 meV/atom



(2)
Computed, not measured: crystalline Ta2FeW at its relaxed geometry at the PBE level of DFT.

a b c (Å): 5.2330 5.2330 5.2330
angles (deg): 137.36 137.36 61.88
Closest atoms and distances in Å follow each position.
Fractional coordinates of all 4 atoms:
Ta (0.2500, 0.7500, 0.5000)  4 Fe 2.69, 4 Ta 2.94, 4 W 2.94
Ta (0.0000, 0.0000, 0.0000)  4 W 2.69, 4 Ta 2.94, 4 Fe 2.94
W (0.5000, 0.5000, 0.0000)  8 Ta 2.69-2.94, 4 Fe 2.94
Fe (0.7500, 0.2500, 0.5000)  8 Ta 2.69-2.94, 4 W 2.94

## Properties
* crystal system: tetragonal
* ΔE_f: 195.8 meV/atom



(3)
Computed, not measured: crystalline K4TlCu3Cl12 at its relaxed geometry at the PBE level of DFT.

a b c (Å): 8.6758 8.6758 8.6758
angles (deg): 109.47 109.47 109.47
Closest atoms and distances in Å follow each position.
Fractional coordinates of all 20 atoms:
K (0.5000, 0.0000, 0.0000)  12 Cl 3.54
K (0.5000, 0.5000, 0.5000)  12 Cl 3.54
K (0.0000, 0.5000, 0.0000)  12 Cl 3.54
K (0.0000, 0.0000, 0.5000)  12 Cl 3.54
Cl (0.2639, 0.0000, 0.2639)  1 Cu 2.37, 1 Tl 2.64
Cl (0.7361, 0.7361, 0.0000)  1 Cu 2.37, 1 Tl 2.64
Cl (0.7500, 0.2500, 0.5000)  2 Cu 2.50
Cl (0.5000, 0.7500, 0.2500)  2 Cu 2.50
Cl (0.2500, 0.7500, 0.5000)  2 Cu 2.50
Cl (0.0000, 0.2639, 0.2639)  1 Cu 2.37, 1 Tl 2.64
Cl (0.5000, 0.2500, 0.7500)  2 Cu 2.50
Cl (0.2500, 0.5000, 0.7500)  2 Cu 2.50
Cl (0.0000, 0.7361, 0.7361)  1 Cu 2.37, 1 Tl 2.64
Cl (0.2639, 0.2639, 0.0000)  1 Cu 2.37, 1 Tl 2.64
Cl (0.7500, 0.5000, 0.2500)  2 Cu 2.50
Cl (0.7361, 0.0000, 0.7361)  1 Cu 2.37, 1 Tl 2.64
Tl (0.0000, 0.0000, 0.0000)  6 Cl 2.64
Cu (0.5000, 0.0000, 0.5000)  6 Cl 2.37-2.50
Cu (0.5000, 0.5000, 0.0000)  6 Cl 2.37-2.50
Cu (0.0000, 0.5000, 0.5000)  6 Cl 2.37-2.50

## Properties
* crystal system: cubic
* raw formation energy: -22.1 eV per formula unit



(4)
Computed, not measured: crystalline Li2CdSe at its relaxed geometry at the PBE level of DFT.

a b c (Å): 4.7994 4.7994 4.7994
angles (deg): 60.00 60.00 60.00
Closest atoms and distances in Å follow each position.
Fractional coordinates of all 4 atoms:
Li (0.7500, 0.7500, 0.7500)  4 Cd 2.94, 4 Se 2.94
Li (0.2500, 0.2500, 0.2500)  4 Cd 2.94, 4 Se 2.94
Se (0.0000, 0.0000, 0.0000)  8 Li 2.94
Cd (0.5000, 0.5000, 0.5000)  8 Li 2.94

## Properties
* crystal system: cubic
* energy relative to the lowest polymorph listed for this composition: 0.119 eV/atom
* raw formation energy: -2.3 eV per formula unit



(5)
Computed, not measured: crystalline Sm7BeCl12 at its relaxed geometry at the PBE level of DFT.

a b c (Å): 8.9540 8.9540 8.9540
angles (deg): 107.78 107.78 107.78
Closest atoms and distances in Å follow each position.
Fractional coordinates of all 20 atoms:
Cl (0.2204, 0.0768, 0.6899)  3 Sm 2.80-2.94
Cl (0.7796, 0.9232, 0.3101)  3 Sm 2.80-2.94
Cl (0.6121, 0.5264, 0.8362)  3 Sm 2.77-2.87
Cl (0.9232, 0.3101, 0.7796)  3 Sm 2.80-2.94
Cl (0.8362, 0.6121, 0.5264)  3 Sm 2.77-2.87
Cl (0.4736, 0.1638, 0.3879)  3 Sm 2.77-2.87
Cl (0.0768, 0.6899, 0.2204)  3 Sm 2.80-2.94
Cl (0.6899, 0.2204, 0.0768)  3 Sm 2.80-2.94
Cl (0.1638, 0.3879, 0.4736)  3 Sm 2.77-2.87
Cl (0.3101, 0.7796, 0.9232)  3 Sm 2.80-2.94
Cl (0.5264, 0.8362, 0.6121)  3 Sm 2.77-2.87
Cl (0.3879, 0.4736, 0.1638)  3 Sm 2.77-2.87
Sm (0.6712, 0.8838, 0.9658)  1 Be 2.69, 5 Cl 2.80-2.94
Sm (0.8838, 0.9658, 0.6712)  1 Be 2.69, 5 Cl 2.80-2.94
Sm (0.5000, 0.5000, 0.5000)  6 Cl 2.77
Sm (0.3288, 0.1162, 0.0342)  1 Be 2.69, 5 Cl 2.80-2.94
Sm (0.1162, 0.0342, 0.3288)  1 Be 2.69, 5 Cl 2.80-2.94
Sm (0.0342, 0.3288, 0.1162)  1 Be 2.69, 5 Cl 2.80-2.94
Sm (0.9658, 0.6712, 0.8838)  1 Be 2.69, 5 Cl 2.80-2.94
Be (0.0000, 0.0000, 0.0000)  6 Sm 2.69

## Properties
* crystal system: trigonal
* raw formation energy: -36.6 eV per formula unit



(6)
Computed, not measured: crystalline BiTeH at its relaxed geometry at the PBE level of DFT.

a b c (Å): 4.8711 4.1347 4.1347
angles (deg): 120.00 90.00 90.00
Closest atoms and distances in Å follow each position.
Fractional coordinates of all 3 atoms:
Te (0.6216, 0.3333, 0.6667)  3 Bi 3.04, 3 H 3.34
Bi (0.2349, 0.6667, 0.3333)  3 H 2.43
H (0.1434, 0.0000, 0.0000)  3 Bi 2.43

## Properties
* crystal system: trigonal
* energy relative to the lowest polymorph listed for this composition: 0.249 eV/atom



| no. | M_tot (μB per formula unit) |
| --- | --- |
| 1 | 0.00 |
| 2 | 1.13 |
| 3 | 0.00 |
| 4 | 0.00 |
| 5 | 0.00 |
| 6 | 0.00 |